1.
Tm2TeS2 | GGA-PBE | relaxed

As for the energy relative to the elements, uncorrected: -1848 meV/atom. For the volume, the calculation gives 29.17 A^3/atom. The final energy is -0.4348 Ry/atom. The space-group type is Immm, No. 71.

a b c (Å): 4.1201 5.3057 13.3429
angles (deg): 90.00 90.00 90.00
Last column: nearest neighbours and their distance in Å.
Element x y z (fractional)
Tm: 0.0000 0.0000 0.1676  4 S 2.69
Tm: 0.0000 0.0000 0.8324  4 S 2.69
Tm: 0.5000 0.5000 0.3324  4 S 2.69
Tm: 0.5000 0.5000 0.6676  4 S 2.69
Te: 0.0000 0.5000 0.5000  4 Tm 3.04
Te: 0.5000 0.0000 0.0000  4 Tm 3.04
S: 0.0000 0.5000 0.2023  4 Tm 2.69
S: 0.0000 0.5000 0.7977  4 Tm 2.69
S: 0.5000 0.0000 0.2977  4 Tm 2.69
S: 0.5000 0.0000 0.7023  4 Tm 2.69



2.
Tm4Te3S2 | GGA-PBE | relaxed

As for the energy relative to the elements, uncorrected: -1555 meV/atom. For the volume, the calculation gives 26.50 A^3/atom. The final energy is -0.4048 Ry/atom. The space-group type is C2/m, No. 12.

a b c (Å): 7.1763 7.1763 8.9691
angles (deg): 100.20 100.20 31.69
Last column: nearest neighbours and their distance in Å.
Element x y z (fractional)
Tm: 0.0748 0.0748 0.1794  2 S 2.75
Tm: 0.3323 0.3323 0.3933  3 S 2.68-2.73
Tm: 0.6677 0.6677 0.6067  3 S 2.68-2.73
Tm: 0.9252 0.9252 0.8206  2 S 2.75
Te: 0.0000 0.0000 0.5000  6 Tm 3.05-3.23
Te: 0.3953 0.3953 0.0880  5 Tm 3.02-3.18
Te: 0.6047 0.6047 0.9120  5 Tm 3.02-3.18
S: 0.2995 0.2995 0.6837  5 Tm 2.68-2.75
S: 0.7005 0.7005 0.3163  5 Tm 2.68-2.75



3.
TmTe2S6 | GGA-PBE | relaxed

As for the energy relative to the elements, uncorrected: -409 meV/atom. For the volume, the calculation gives 27.47 A^3/atom. The final energy is -0.3202 Ry/atom. The space-group type is P-1, No. 2.

a b c (Å): 6.8494 9.0429 9.0650
angles (deg): 76.90 71.71 69.33
Last column: nearest neighbours and their distance in Å.
Element x y z (fractional)
Tm: 0.2502 0.0671 0.4024  6 S 2.62-2.84
Tm: 0.7498 0.9329 0.5976  6 S 2.62-2.84
Te: 0.0192 0.3389 0.6725  5 S 2.44-2.70
Te: 0.4358 0.2305 0.8895  3 S 2.38-2.64
Te: 0.5642 0.7695 0.1105  3 S 2.38-2.64
Te: 0.9808 0.6611 0.3275  5 S 2.44-2.70
S: 0.1649 0.7957 0.4623  2 Tm 2.62-2.67, 1 Te 2.70
S: 0.1962 0.1287 0.1092  1 Te 2.39
S: 0.2015 0.4749 0.7956  2 Te 2.38-2.63
S: 0.2548 0.3776 0.4107  2 Te 2.44-2.70
S: 0.3105 0.0546 0.6958  1 Te 2.65, 2 Tm 2.74-2.79
S: 0.3953 0.6141 0.9959  1 S 2.06
S: 0.6047 0.3859 0.0041  1 S 2.06
S: 0.6895 0.9454 0.3042  1 Te 2.65, 2 Tm 2.74-2.79
S: 0.7452 0.6224 0.5893  2 Te 2.44-2.70
S: 0.7985 0.5251 0.2044  2 Te 2.38-2.63
S: 0.8038 0.8713 0.8908  1 Te 2.39
S: 0.8351 0.2043 0.5377  2 Tm 2.62-2.67, 1 Te 2.70



4.
Tm4Te3S | GGA-PBE | relaxed

As for the energy relative to the elements, uncorrected: -1054 meV/atom. For the volume, the calculation gives 34.42 A^3/atom. The final energy is -0.3663 Ry/atom. The space-group type is Pmn2_1, No. 31.

a b c (Å): 9.3035 8.0228 7.3785
angles (deg): 90.00 90.00 90.00
Last column: nearest neighbours and their distance in Å.
Element x y z (fractional)
Tm: 0.0000 0.0899 0.0000  1 S 2.67
Tm: 0.0000 0.8466 0.4153  1 S 2.70, 3 Te 2.97-3.00
Tm: 0.1965 0.7125 0.0088  1 S 2.64
Tm: 0.3036 0.2875 0.5088  1 S 2.64
Tm: 0.5000 0.1534 0.9153  1 S 2.70, 3 Te 2.97-3.00
Tm: 0.5000 0.9101 0.5000  1 S 2.67
Tm: 0.6964 0.2875 0.5088  1 S 2.64
Tm: 0.8036 0.7125 0.0088  1 S 2.64
Te: 0.0000 0.2161 0.3934  4 Tm 2.97-3.07
Te: 0.2251 0.3492 0.8997  4 Tm 3.00-3.04
Te: 0.2749 0.6508 0.3997  4 Tm 3.00-3.04
Te: 0.5000 0.7839 0.8934  4 Tm 2.97-3.07
Te: 0.7251 0.6508 0.3997  4 Tm 3.00-3.04
Te: 0.7749 0.3492 0.8997  4 Tm 3.00-3.04
S: 0.0000 0.8253 0.7809  4 Tm 2.64-2.70
S: 0.5000 0.1747 0.2809  4 Tm 2.64-2.70



5.
Tm4TeS3 | GGA-PBE | relaxed

As for the energy relative to the elements, uncorrected: -1761 meV/atom. For the volume, the calculation gives 21.86 A^3/atom. The final energy is -0.4364 Ry/atom. The space-group type is P6_3/mmc, No. 194.

a b c (Å): 3.9111 3.9111 26.4032
angles (deg): 90.00 90.00 120.00
Last column: nearest neighbours and their distance in Å.
Element x y z (fractional)
Tm: 0.0000 0.0000 0.1718  3 S 2.69
Tm: 0.0000 0.0000 0.3282  3 S 2.69
Tm: 0.0000 0.0000 0.6718  3 S 2.69
Tm: 0.0000 0.0000 0.8282  3 S 2.69
Tm: 0.3333 0.6667 0.0616  6 S 2.68-2.78
Tm: 0.3333 0.6667 0.4384  6 S 2.68-2.78
Tm: 0.6667 0.3333 0.5616  6 S 2.68-2.78
Tm: 0.6667 0.3333 0.9384  6 S 2.68-2.78
Te: 0.3333 0.6667 0.2500  6 Tm 3.06
Te: 0.6667 0.3333 0.7500  6 Tm 3.06
S: 0.0000 0.0000 0.0000  6 Tm 2.78
S: 0.0000 0.0000 0.5000  6 Tm 2.78
S: 0.3333 0.6667 0.6165  6 Tm 2.68-2.69
S: 0.3333 0.6667 0.8835  6 Tm 2.68-2.69
S: 0.6667 0.3333 0.1165  6 Tm 2.68-2.69
S: 0.6667 0.3333 0.3835  6 Tm 2.68-2.69



6.
YTmTeS | GGA-PBE | relaxed

As for the energy relative to the elements, uncorrected: -1659 meV/atom. For the volume, the calculation gives 24.45 A^3/atom. The final energy is -0.4565 Ry/atom. The space-group type is R3m, No. 160.

a b c (Å): 3.9980 3.9980 21.2021
angles (deg): 90.00 90.00 120.00
Last column: nearest neighbours and their distance in Å.
Element x y z (fractional)
Y: 0.0000 0.0000 0.0000  3 S 2.79
Y: 0.3333 0.6667 0.6667  3 S 2.79
Y: 0.6667 0.3333 0.3333  3 S 2.79
Tm: 0.0000 0.0000 0.8049  3 S 2.69
Tm: 0.3333 0.6667 0.4716  3 S 2.69
Tm: 0.6667 0.3333 0.1383  3 S 2.69
Te: 0.0000 0.0000 0.2337  3 Tm 3.07, 3 Y 3.13
Te: 0.3333 0.6667 0.9003  3 Tm 3.07, 3 Y 3.13
Te: 0.6667 0.3333 0.5670  3 Tm 3.07, 3 Y 3.13
S: 0.0000 0.0000 0.4069  3 Tm 2.69, 3 Y 2.79
S: 0.3333 0.6667 0.0736  3 Tm 2.69, 3 Y 2.79
S: 0.6667 0.3333 0.7402  3 Tm 2.69, 3 Y 2.79



7.
Y2TmTe2S2 | GGA-PBE | relaxed

As for the energy relative to the elements, uncorrected: -1384 meV/atom. For the volume, the calculation gives 27.89 A^3/atom. The final energy is -0.4371 Ry/atom. The space-group type is I4/mmm, No. 139.

a b c (Å): 4.9961 4.9961 15.6423
angles (deg): 90.00 90.00 90.00
Last column: nearest neighbours and their distance in Å.
Element x y z (fractional)
Y: 0.0000 0.0000 0.1127  4 S 3.06, 1 Te 3.11
Y: 0.0000 0.0000 0.8873  4 S 3.06, 1 Te 3.11
Y: 0.5000 0.5000 0.3873  4 S 3.06, 1 Te 3.11
Y: 0.5000 0.5000 0.6127  4 S 3.06, 1 Te 3.11
Tm: 0.0000 0.0000 0.5000  4 S 2.50
Tm: 0.5000 0.5000 0.0000  4 S 2.50
Te: 0.0000 0.0000 0.3116  1 Tm 2.95, 1 Y 3.11
Te: 0.0000 0.0000 0.6884  1 Tm 2.95, 1 Y 3.11
Te: 0.5000 0.5000 0.1884  1 Tm 2.95, 1 Y 3.11
Te: 0.5000 0.5000 0.8116  1 Tm 2.95, 1 Y 3.11
S: 0.0000 0.5000 0.0000  2 Tm 2.50
S: 0.0000 0.5000 0.5000  2 Tm 2.50
S: 0.5000 0.0000 0.0000  2 Tm 2.50
S: 0.5000 0.0000 0.5000  2 Tm 2.50



8.
Tm8ZnTe4S3 | GGA-PBE | relaxed

As for the energy relative to the elements, uncorrected: -1367 meV/atom. For the volume, the calculation gives 24.62 A^3/atom. The final energy is -0.3852 Ry/atom. The space-group type is R-3m, No. 166.

a b c (Å): 8.3482 8.3482 8.3482
angles (deg): 58.15 58.15 58.15
Last column: nearest neighbours and their distance in Å.
Element x y z (fractional)
Tm: 0.2342 0.2342 0.2342  3 S 2.73
Tm: 0.2378 0.7365 0.7366  1 Zn 2.75, 2 S 2.76, 3 Te 3.08
Tm: 0.2634 0.2634 0.7622  1 Zn 2.75, 2 S 2.76, 3 Te 3.08
Tm: 0.2634 0.7622 0.2634  1 Zn 2.75, 2 S 2.76, 3 Te 3.08
Tm: 0.7366 0.2378 0.7366  1 Zn 2.75, 2 S 2.76, 3 Te 3.08
Tm: 0.7366 0.7366 0.2378  1 Zn 2.75, 2 S 2.76, 3 Te 3.08
Tm: 0.7622 0.2634 0.2634  1 Zn 2.75, 2 S 2.76, 3 Te 3.08
Tm: 0.7658 0.7658 0.7658  3 S 2.73
Zn: 0.5000 0.5000 0.5000  6 Tm 2.75
Te: 0.0000 0.0000 0.0000  6 Tm 3.08
Te: 0.0000 0.5000 0.5000  6 Tm 3.08-3.12
Te: 0.5000 0.0000 0.5000  6 Tm 3.08-3.12
Te: 0.5000 0.5000 0.0000  6 Tm 3.08-3.12
S: 0.0000 0.0000 0.5000  6 Tm 2.73-2.76
S: 0.0000 0.5000 0.0000  6 Tm 2.73-2.76
S: 0.5000 0.0000 0.0000  6 Tm 2.73-2.76